# 1
Below is an optimized crystal structure of Pr4As3O, with properties calculated at the PBE-GGA level.

Values from the calculation:
D(E_F) ... 5.48 states/eV per cell
Formation energy without anion corrections ... -1.727 eV/atom
Total energy ... -6.4799 eV per atom

a b c (Å): 6.038 6.037 11.831
angles (deg): 90.00 90.00 90.00
Sites, in units of the cell vectors:
Pr  0.564  0.751  0.252
Pr  0.128  0.748  0.500
Pr  0.063  0.814  0.000
Pr  0.564  0.751  0.748
Pr  0.064  0.249  0.248
Pr  0.628  0.252  0.000
Pr  0.064  0.249  0.752
Pr  0.563  0.186  0.500
As  0.065  0.748  0.750
As  0.565  0.753  0.000
As  0.065  0.247  0.500
As  0.065  0.748  0.250
As  0.565  0.252  0.250
As  0.565  0.252  0.750
O  0.002  0.188  0.000
O  0.502  0.812  0.500


# 2
Below is an optimized crystal structure of LiMgFe3, with properties calculated at the PBE-GGA level.

Values from the calculation:
D(E_F) ... 1.09 states/eV per cell
Formation energy ... 0.87 eV per atom
Total energy ... -4.9106 eV per atom
Distance to the lowest polymorph of the same formula ... 0.000 eV/atom

a b c (Å): 4.119 4.119 4.119
angles (deg): 90.00 90.00 90.00
Last column: magnetic moment on the atom in μB.
Sites, in units of the cell vectors:
Fe  0.000  0.000  0.500  2.74
Fe  0.500  0.000  0.000  2.18
Fe  0.000  0.500  0.000  2.61
Li  0.000  0.000  0.000  -0.12
Mg  0.500  0.500  0.500  -0.05